[1]
This record from the Alexandria database describes an optimized crystal structure of Tb4NiAg. The functional is PBE-GGA.

a b c (Å): 6.896 7.085 6.940
angles (deg): 90.00 95.81 90.00
Positions (direct):
Tb 0.154 0.169 0.192
Tb 0.154 0.331 0.692
Tb 0.324 0.653 0.122
Tb 0.324 0.847 0.622
Tb 0.676 0.153 0.378
Tb 0.676 0.347 0.878
Tb 0.846 0.669 0.308
Tb 0.846 0.831 0.808
Ni 0.000 0.000 0.500
Ni 0.000 0.500 0.000
Ag 0.500 0.000 0.000
Ag 0.500 0.500 0.500

Output
As for the spin magnetization: 0.00 μB per formula unit. The theoretical density is 7.898 g cm⁻³. The calculation puts the energy above the most stable polymorph in this dataset at 1.07 eV per formula unit.


[2]
This record from the Alexandria database describes an optimized crystal structure of Tb6NiAg. The functional is PBE-GGA.

a b c (Å): 6.730 6.736 7.393
angles (deg): 90.09 116.99 119.93
Positions (direct):
Tb 0.028 0.082 0.261
Tb 0.314 0.732 0.261
Tb 0.320 0.553 0.739
Tb 0.680 0.447 0.261
Tb 0.686 0.268 0.739
Tb 0.972 0.918 0.739
Ni 0.500 0.500 0.500
Ag 0.500 0.000 0.000

Output
As for the spin magnetization: 0.00 μB per formula unit. The theoretical density is 7.520 g cm⁻³. As for the total DFT energy (no corrections): -36.159 eV/cell.


[3]
This record from the Alexandria database describes an optimized crystal structure of Tb6Ni2Ag. The functional is PBE-GGA.

a b c (Å): 8.373 8.373 8.373
angles (deg): 112.38 109.62 106.47
Positions (direct):
Tb 0.038 0.233 0.805
Tb 0.180 0.288 0.469
Tb 0.180 0.712 0.892
Tb 0.325 0.017 0.692
Tb 0.325 0.633 0.308
Tb 0.428 0.233 0.195
Tb 0.572 0.767 0.805
Tb 0.675 0.367 0.692
Tb 0.675 0.983 0.308
Tb 0.820 0.288 0.108
Tb 0.820 0.712 0.531
Tb 0.962 0.767 0.195
Ni 0.122 0.622 0.500
Ni 0.351 0.000 0.351
Ni 0.649 0.000 0.649
Ni 0.878 0.378 0.500
Ag 0.000 0.000 0.000
Ag 0.500 0.500 0.000

Output
As for the spin magnetization: 0.00 μB per formula unit. The theoretical density is 8.688 g cm⁻³. As for the total DFT energy (no corrections): -89.273 eV/cell.


[4]
This record from the Alexandria database describes an optimized crystal structure of TbNi2Ag. The functional is PBE-GGA.

a b c (Å): 4.545 4.545 4.545
angles (deg): 60.00 60.00 60.00
Positions (direct):
Tb 0.000 0.000 0.000
Ni 0.250 0.250 0.250
Ni 0.750 0.750 0.750
Ag 0.500 0.500 0.500

Output
As for the spin magnetization: 0.00 μB per formula unit. The theoretical density is 9.612 g cm⁻³. As for the total DFT energy (no corrections): -19.587 eV/cell.


[5]
This record from the Alexandria database describes an optimized crystal structure of TbNi2Ag. The functional is PBE-GGA.

a b c (Å): 4.201 4.201 3.707
angles (deg): 90.00 90.00 90.00
Positions (direct):
Tb 0.000 0.000 0.000
Ni 0.000 0.500 0.500
Ni 0.500 0.000 0.500
Ag 0.500 0.500 0.000

Output
As for the spin magnetization: 0.00 μB per formula unit. The theoretical density is 9.751 g cm⁻³. As for the total DFT energy (no corrections): -19.714 eV/cell.


[6]
This record from the Alexandria database describes an optimized crystal structure of Tb6NiAg2. The functional is PBE-GGA.

a b c (Å): 8.508 8.508 8.508
angles (deg): 110.94 110.56 106.94
Positions (direct):
Tb 0.077 0.247 0.830
Tb 0.225 0.555 0.330
Tb 0.225 0.896 0.670
Tb 0.316 0.236 0.552
Tb 0.316 0.764 0.079
Tb 0.418 0.247 0.170
Tb 0.582 0.753 0.830
Tb 0.684 0.236 0.921
Tb 0.684 0.764 0.448
Tb 0.775 0.104 0.330
Tb 0.775 0.445 0.670
Tb 0.923 0.753 0.170
Ni 0.500 0.000 0.500
Ni 0.500 0.500 0.000
Ag 0.000 0.138 0.138
Ag 0.000 0.862 0.862
Ag 0.147 0.500 0.647
Ag 0.853 0.500 0.353

Output
As for the spin magnetization: 0.00 μB per formula unit. The theoretical density is 8.615 g cm⁻³. The calculation puts the energy above the most stable polymorph in this dataset at 0.08 eV per formula unit.


[7]
This record from the Alexandria database describes an optimized crystal structure of Tb2NiAg. The functional is PBE-GGA.

a b c (Å): 7.645 7.645 7.645
angles (deg): 29.87 29.87 29.87
Positions (direct):
Tb 0.237 0.237 0.237
Tb 0.763 0.763 0.763
Ni 0.500 0.500 0.500
Ag 0.000 0.000 0.000

Output
As for the spin magnetization: 0.00 μB per formula unit. The theoretical density is 8.195 g cm⁻³. As for the total DFT energy (no corrections): -18.706 eV/cell.


[8]
This record from the Alexandria database describes an optimized crystal structure of Tb2Ni2Ag3. The functional is PBE-GGA.

a b c (Å): 9.946 9.946 3.608
angles (deg): 90.00 90.00 157.63
Positions (direct):
Tb 0.165 0.835 0.000
Tb 0.835 0.165 0.000
Ni 0.286 0.714 0.500
Ni 0.714 0.286 0.500
Ag 0.000 0.000 0.000
Ag 0.428 0.572 0.500
Ag 0.572 0.428 0.500

Output
As for the spin magnetization: 0.00 μB per formula unit. The theoretical density is 9.276 g cm⁻³. As for the total DFT energy (no corrections): -31.562 eV/cell.


[9]
This record from the Alexandria database describes an optimized crystal structure of Tb2NiAg. The functional is PBE-GGA.

a b c (Å): 3.479 3.479 7.255
angles (deg): 90.00 90.00 90.00
Positions (direct):
Tb 0.000 0.000 0.226
Tb 0.000 0.000 0.774
Ni 0.500 0.500 0.000
Ag 0.500 0.500 0.500

Output
As for the spin magnetization: 0.00 μB per formula unit. The theoretical density is 9.160 g cm⁻³. As for the total DFT energy (no corrections): -19.240 eV/cell.


[10]
This record from the Alexandria database describes an optimized crystal structure of Tb8Ni2Ag. The functional is PBE-GGA.

a b c (Å): 7.774 7.774 5.553
angles (deg): 98.02 98.02 114.68
Positions (direct):
Tb 0.078 0.334 0.586
Tb 0.240 0.760 0.000
Tb 0.334 0.078 0.586
Tb 0.383 0.383 0.191
Tb 0.617 0.617 0.809
Tb 0.666 0.922 0.414
Tb 0.760 0.240 0.000
Tb 0.922 0.666 0.414
Ni 0.301 0.699 0.500
Ni 0.699 0.301 0.500
Ag 0.000 0.000 0.000

Output
As for the spin magnetization: 0.00 μB per formula unit. The theoretical density is 8.435 g cm⁻³. As for the total DFT energy (no corrections): -52.554 eV/cell.


[11]
This record from the Alexandria database describes an optimized crystal structure of Tb2Ni2Ag. The functional is PBE-GGA.

a b c (Å): 7.220 7.220 3.640
angles (deg): 90.00 90.00 148.29
Positions (direct):
Tb 0.135 0.865 0.000
Tb 0.865 0.135 0.000
Ni 0.301 0.699 0.500
Ni 0.699 0.301 0.500
Ag 0.500 0.500 0.500

Output
As for the spin magnetization: 0.00 μB per formula unit. The theoretical density is 9.044 g cm⁻³. The calculation puts the energy above the most stable polymorph in this dataset at 0.00 eV per formula unit.


[12]
This record from the Alexandria database describes an optimized crystal structure of Tb3Ni8Ag. The functional is PBE-GGA.

a b c (Å): 8.712 8.712 8.712
angles (deg): 33.45 33.45 33.45
Positions (direct):
Tb 0.000 0.000 0.000
Tb 0.130 0.130 0.130
Tb 0.615 0.615 0.615
Ni 0.059 0.059 0.564
Ni 0.059 0.564 0.059
Ni 0.062 0.560 0.560
Ni 0.311 0.311 0.311
Ni 0.560 0.062 0.560
Ni 0.560 0.560 0.062
Ni 0.564 0.059 0.059
Ni 0.811 0.811 0.811
Ag 0.494 0.494 0.494

Output
As for the spin magnetization: 0.00 μB per formula unit. The theoretical density is 9.787 g cm⁻³. As for the total DFT energy (no corrections): -67.524 eV/cell.


[13]
This record from the Alexandria database describes an optimized crystal structure of Tb6NiAg2. The functional is PBE-GGA.

a b c (Å): 6.750 7.297 11.789
angles (deg): 90.00 121.00 90.00
Positions (direct):
Tb 0.118 0.014 0.250
Tb 0.118 0.486 0.750
Tb 0.215 0.686 0.057
Tb 0.215 0.814 0.557
Tb 0.365 0.185 0.050
Tb 0.365 0.315 0.550
Tb 0.635 0.685 0.450
Tb 0.635 0.815 0.950
Tb 0.785 0.186 0.443
Tb 0.785 0.314 0.943
Tb 0.882 0.514 0.250
Tb 0.882 0.986 0.750
Ni 0.500 0.000 0.500
Ni 0.500 0.500 0.000
Ag 0.316 0.109 0.757
Ag 0.316 0.391 0.257
Ag 0.684 0.609 0.743
Ag 0.684 0.891 0.243

Output
As for the spin magnetization: 0.00 μB per formula unit. The theoretical density is 8.194 g cm⁻³. The calculation puts the energy above the most stable polymorph in this dataset at 0.00 eV per formula unit.


[14]
This record from the Alexandria database describes an optimized crystal structure of TbNi4Ag. The functional is PBE-GGA.

a b c (Å): 4.952 4.952 4.952
angles (deg): 60.00 60.00 60.00
Positions (direct):
Tb 0.000 0.000 0.000
Ni 0.376 0.376 0.376
Ni 0.376 0.376 0.873
Ni 0.376 0.873 0.376
Ni 0.873 0.376 0.376
Ag 0.750 0.750 0.750

Output
As for the spin magnetization: 1.19 μB per formula unit. The theoretical density is 9.701 g cm⁻³. As for the total DFT energy (no corrections): -32.292 eV/cell.


[15]
This record from the Alexandria database describes an optimized crystal structure of TbThNiAg. The functional is PBE-GGA.

a b c (Å): 5.077 5.077 5.077
angles (deg): 60.00 60.00 60.00
Positions (direct):
Tb 0.000 0.000 0.000
Th 0.500 0.500 0.500
Ni 0.750 0.750 0.750
Ag 0.250 0.250 0.250

Output
As for the spin magnetization: 0.00 μB per formula unit. The theoretical density is 10.005 g cm⁻³. As for the total DFT energy (no corrections): -21.381 eV/cell.


[16]
This record from the Alexandria database describes an optimized crystal structure of TbTlNiAg. The functional is PBE-GGA.

a b c (Å): 4.845 4.845 4.845
angles (deg): 60.00 60.00 60.00
Positions (direct):
Tb 0.000 0.000 0.000
Tl 0.500 0.500 0.500
Ni 0.250 0.250 0.250
Ag 0.750 0.750 0.750

Output
As for the spin magnetization: 0.00 μB per formula unit. The theoretical density is 10.941 g cm⁻³. As for the total DFT energy (no corrections): -16.218 eV/cell.


[17]
This record from the Alexandria database describes an optimized crystal structure of TbTmNiAg. The functional is PBE-GGA.

a b c (Å): 4.948 4.948 4.948
angles (deg): 60.00 60.00 60.00
Positions (direct):
Tb 0.000 0.000 0.000
Tm 0.500 0.500 0.500
Ni 0.250 0.250 0.250
Ag 0.750 0.750 0.750

Output
As for the spin magnetization: 0.00 μB per formula unit. The theoretical density is 9.583 g cm⁻³. As for the total DFT energy (no corrections): -19.033 eV/cell.


[18]
This record from the Alexandria database describes an optimized crystal structure of TbYNiAg. The functional is PBE-GGA.

a b c (Å): 4.992 4.992 4.992
angles (deg): 60.00 60.00 60.00
Positions (direct):
Tb 0.000 0.000 0.000
Y 0.500 0.500 0.500
Ni 0.250 0.250 0.250
Ag 0.750 0.750 0.750

Output
As for the spin magnetization: 0.00 μB per formula unit. The theoretical density is 7.821 g cm⁻³. As for the total DFT energy (no corrections): -20.942 eV/cell.


[19]
This record from the Alexandria database describes an optimized crystal structure of TbZrNiAg. The functional is PBE-GGA.

a b c (Å): 4.858 4.858 4.858
angles (deg): 60.00 60.00 60.00
Positions (direct):
Tb 0.000 0.000 0.000
Zr 0.500 0.500 0.500
Ni 0.750 0.750 0.750
Ag 0.250 0.250 0.250

Output
As for the spin magnetization: 0.00 μB per formula unit. The theoretical density is 8.536 g cm⁻³. As for the total DFT energy (no corrections): -22.334 eV/cell.


[20]
This record from the Alexandria database describes an optimized crystal structure of TcNiAg2. The functional is PBE-GGA.

a b c (Å): 9.388 9.388 9.388
angles (deg): 16.92 16.92 16.92
Positions (direct):
Tc 0.000 0.000 0.000
Ni 0.500 0.500 0.500
Ag 0.246 0.246 0.246
Ag 0.754 0.754 0.754

Output
As for the spin magnetization: 0.98 μB per formula unit. The theoretical density is 10.111 g cm⁻³. The calculation puts the energy above the most stable polymorph in this dataset at 1.00 eV per formula unit.


[21]
This record from the Alexandria database describes an optimized crystal structure of TcNiAg2. The functional is PBE-GGA.

a b c (Å): 2.738 2.738 8.124
angles (deg): 90.00 90.00 90.00
Positions (direct):
Tc 0.000 0.000 0.000
Ni 0.500 0.500 0.801
Ag 0.000 0.000 0.555
Ag 0.500 0.500 0.274

Output
As for the spin magnetization: 0.00 μB per formula unit. The theoretical density is 10.154 g cm⁻³. The calculation puts the energy above the most stable polymorph in this dataset at 0.00 eV per formula unit.


[22]
This record from the Alexandria database describes an optimized crystal structure of TcNi4Ag. The functional is PBE-GGA.

a b c (Å): 4.758 4.758 4.758
angles (deg): 60.00 60.00 60.00
Positions (direct):
Tc 0.000 0.000 0.000
Ni 0.375 0.375 0.375
Ni 0.375 0.375 0.875
Ni 0.375 0.875 0.375
Ni 0.875 0.375 0.375
Ag 0.750 0.750 0.750

Output
As for the spin magnetization: 4.12 μB per formula unit. The theoretical density is 9.606 g cm⁻³. As for the total DFT energy (no corrections): -35.031 eV/cell.


[23]
This record from the Alexandria database describes an optimized crystal structure of TcNiAg2. The functional is PBE-GGA.

a b c (Å): 4.977 4.977 4.812
angles (deg): 99.29 99.29 31.32
Positions (direct):
Tc 0.000 0.000 0.000
Ni 0.500 0.500 0.500
Ag 0.246 0.246 0.746
Ag 0.754 0.754 0.254

Output
As for the spin magnetization: 1.29 μB per formula unit. The theoretical density is 10.126 g cm⁻³. The calculation puts the energy above the most stable polymorph in this dataset at 1.02 eV per formula unit.


[24]
This record from the Alexandria database describes an optimized crystal structure of TcNiAg2. The functional is PBE-GGA.

a b c (Å): 4.480 4.480 4.480
angles (deg): 60.00 60.00 60.00
Positions (direct):
Tc 0.000 0.000 0.000
Ni 0.500 0.500 0.500
Ag 0.250 0.250 0.250
Ag 0.750 0.750 0.750

Output
As for the spin magnetization: 3.00 μB per formula unit. The theoretical density is 9.730 g cm⁻³. The calculation puts the energy above the most stable polymorph in this dataset at 2.07 eV per formula unit.


[25]
This record from the Alexandria database describes an optimized crystal structure of TcNiAg2. The functional is PBE-GGA.

a b c (Å): 2.672 2.672 8.503
angles (deg): 90.00 90.00 90.00
Positions (direct):
Tc 0.000 0.000 0.000
Ni 0.000 0.000 0.500
Ag 0.500 0.500 0.266
Ag 0.500 0.500 0.734

Output
As for the spin magnetization: 0.56 μB per formula unit. The theoretical density is 10.189 g cm⁻³. The calculation puts the energy above the most stable polymorph in this dataset at 1.03 eV per formula unit.


[26]
This record from the Alexandria database describes an optimized crystal structure of TcNiAg2. The functional is PBE-GGA.

a b c (Å): 5.515 5.515 5.515
angles (deg): 151.40 128.23 60.21
Positions (direct):
Tc 0.000 0.000 0.000
Ni 0.788 0.288 0.500
Ag 0.272 0.772 0.500
Ag 0.546 0.546 0.000

Output
As for the spin magnetization: 1.27 μB per formula unit. The theoretical density is 9.881 g cm⁻³. The calculation puts the energy above the most stable polymorph in this dataset at 1.16 eV per formula unit.